Computed, not measured: MgGa8Ag2 after structural relaxation at the GGA-PBE level of DFT.

## Properties
Crystal system   monoclinic
E_tot   -2.832 eV per atom
N(E_F)   6.61 states/eV per cell
ΔH_f (0 K)   0.03 eV per atom

a = 11.446 Å, b = 7.997 Å, c = 4.963 Å
α = 90.00°, β = 101.21°, γ = 90.00°
Space group C2/m (No. 12)
Asymmetric unit:
Mg  0.000  0.000  0.000 x2
Ga  0.059  0.304  0.775 x8
Ga  0.134  0.500  0.320 x4
Ga  0.249  0.000  0.124 x4
Ag  0.130  0.000  0.561 x4

=====

Computed, not measured: Mg2GaAg3 after structural relaxation at the GGA-PBE level of DFT.

## Properties
E above lowest polymorph   16 meV per atom
Crystal system   orthorhombic
E_tot   -2.617 eV per atom
N(E_F)   3.61 states/eV per cell
ΔH_f (0 K)   -0.16 eV per atom

a = 4.301 Å, b = 12.721 Å, c = 3.955 Å
α = 90.00°, β = 90.00°, γ = 90.00°
Space group Cmmm (No. 65)
Asymmetric unit:
Mg  0.000  0.161  0.000 x4
Ga  0.000  0.500  0.000 x2
Ag  0.000  0.000  0.500 x2
Ag  0.000  0.332  0.500 x4

=====

Computed, not measured: Mg2GaAg8 after structural relaxation at the GGA-PBE level of DFT.

## Properties
E above lowest polymorph   0 meV per atom
Crystal system   monoclinic
E_tot   -2.737 eV per atom
N(E_F)   4.94 states/eV per cell
ΔH_f (0 K)   -0.10 eV per atom

a = 14.422 Å, b = 4.333 Å, c = 6.670 Å
α = 90.00°, β = 109.32°, γ = 90.00°
Space group C2/m (No. 12)
Asymmetric unit:
Mg  0.221  0.000  0.146 x4
Ga  0.000  0.500  0.500 x2
Ag  0.042  0.000  0.226 x4
Ag  0.093  0.500  0.944 x4
Ag  0.140  0.000  0.683 x4
Ag  0.177  0.500  0.407 x4

=====

Computed, not measured: MgGaAg2 after structural relaxation at the GGA-PBE level of DFT.

## Properties
Crystal system   tetragonal
E_tot   -2.704 eV per atom
N(E_F)   1.43 states/eV per cell
ΔH_f (0 K)   -0.12 eV per atom

a = 3.391 Å, b = 3.391 Å, c = 6.252 Å
α = 90.00°, β = 90.00°, γ = 90.00°
Space group P4/mmm (No. 123)
Asymmetric unit:
Mg  0.000  0.000  0.000 x1
Ga  0.000  0.000  0.500 x1
Ag  0.500  0.500  0.252 x2

=====

Computed, not measured: Mg3Ga2Ag6 after structural relaxation at the GGA-PBE level of DFT.

## Properties
Crystal system   triclinic
E_tot   -2.637 eV per atom
N(E_F)   2.81 states/eV per cell
ΔH_f (0 K)   -0.10 eV per atom

a = 5.090 Å, b = 5.129 Å, c = 8.757 Å
α = 98.88°, β = 98.33°, γ = 111.84°
Space group P-1 (No. 2)
Asymmetric unit:
Mg  0.000  0.000  0.000 x1
Mg  0.271  0.271  0.357 x2
Ga  0.253  0.252  0.731 x2
Ag  0.200  0.638  0.153 x2
Ag  0.209  0.790  0.499 x2
Ag  0.362  0.800  0.846 x2

=====

Computed, not measured: MgGaAg3 after structural relaxation at the GGA-PBE level of DFT.

## Properties
E above lowest polymorph   426 meV per atom
Crystal system   cubic
E_tot   -2.321 eV per atom
N(E_F)   1.91 states/eV per cell
ΔH_f (0 K)   0.31 eV per atom

a = 4.866 Å, b = 4.866 Å, c = 4.866 Å
α = 90.00°, β = 90.00°, γ = 90.00°
Space group Pm-3m (No. 221)
Asymmetric unit:
Mg  0.000  0.000  0.000 x1
Ga  0.500  0.500  0.500 x1
Ag  0.000  0.500  0.500 x3

=====

Computed, not measured: MgGa3Ag after structural relaxation at the GGA-PBE level of DFT.

## Properties
E above lowest polymorph   45 meV per atom
Crystal system   monoclinic
E_tot   -2.722 eV per atom
N(E_F)   5.56 states/eV per cell
ΔH_f (0 K)   -0.02 eV per atom

a = 16.810 Å, b = 4.501 Å, c = 5.353 Å
α = 90.00°, β = 97.23°, γ = 90.00°
Space group C2/m (No. 12)
Asymmetric unit:
Mg  0.090  0.000  0.122 x4
Ga  0.019  0.500  0.756 x4
Ga  0.184  0.500  0.952 x4
Ga  0.196  0.000  0.663 x4
Ag  0.141  0.500  0.433 x4

=====

Computed, not measured: Mg3GaAg2 after structural relaxation at the GGA-PBE level of DFT.

## Properties
Crystal system   tetragonal
E_tot   -2.463 eV per atom
N(E_F)   1.78 states/eV per cell
ΔH_f (0 K)   -0.21 eV per atom

a = 3.368 Å, b = 3.368 Å, c = 9.891 Å
α = 90.00°, β = 90.00°, γ = 90.00°
Space group P4/mmm (No. 123)
Asymmetric unit:
Mg  0.000  0.000  0.000 x1
Mg  0.000  0.000  0.332 x2
Ga  0.500  0.500  0.500 x1
Ag  0.500  0.500  0.166 x2

=====

Computed, not measured: Mg6GaAg2 after structural relaxation at the GGA-PBE level of DFT.

## Properties
E above lowest polymorph   0 meV per atom
Crystal system   monoclinic
E_tot   -2.158 eV per atom
N(E_F)   3.66 states/eV per cell
ΔH_f (0 K)   -0.13 eV per atom

a = 8.344 Å, b = 4.820 Å, c = 8.901 Å
α = 90.00°, β = 90.07°, γ = 90.00°
Space group C2/m (No. 12)
Asymmetric unit:
Mg  0.000  0.000  0.186 x4
Mg  0.167  0.500  0.597 x4
Mg  0.167  0.500  0.943 x4
Ga  0.000  0.000  0.500 x2
Ag  0.167  0.500  0.261 x4

=====

Computed, not measured: MgGa6Ag6 after structural relaxation at the GGA-PBE level of DFT.

## Properties
Crystal system   hexagonal
E_tot   -2.825 eV per atom
N(E_F)   4.60 states/eV per cell
ΔH_f (0 K)   0.01 eV per atom

a = 5.6304 Å, b = 5.6304 Å, c = 8.8783 Å
α = 90.00°, β = 90.00°, γ = 120.00°
Space group P6/mmm (No. 191)
Asymmetric unit:
Mg  0.0000  0.0000  0.0000 x1
Ga  0.0000  0.0000  0.3546 x2
Ga  0.3333  0.6667  0.0000 x2
Ga  0.3333  0.6667  0.5000 x2
Ag  0.0000  0.5000  0.2475 x6

=====

Computed, not measured: Mg5GaAg4 after structural relaxation at the GGA-PBE level of DFT.

## Properties
Crystal system   tetragonal
E_tot   -2.466 eV per atom
N(E_F)   1.72 states/eV per cell
ΔH_f (0 K)   -0.23 eV per atom

a = 3.404 Å, b = 3.404 Å, c = 16.043 Å
α = 90.00°, β = 90.00°, γ = 90.00°
Space group P4/mmm (No. 123)
Asymmetric unit:
Mg  0.000  0.000  0.000 x1
Mg  0.000  0.000  0.200 x2
Mg  0.000  0.000  0.399 x2
Ga  0.500  0.500  0.500 x1
Ag  0.500  0.500  0.100 x2
Ag  0.500  0.500  0.300 x2

=====

Computed, not measured: Mg2GaAg after structural relaxation at the GGA-PBE level of DFT.

## Properties
Crystal system   trigonal
E_tot   -2.282 eV per atom
N(E_F)   3.65 states/eV per cell
ΔH_f (0 K)   -0.02 eV per atom

a = 4.5813 Å, b = 4.5813 Å, c = 13.8277 Å
α = 90.00°, β = 90.00°, γ = 120.00°
Space group R3m (No. 160, hexagonal axes)
Asymmetric unit:
Mg  0.0000  0.0000  0.0000 x3
Mg  0.0000  0.0000  0.2119 x3
Ga  0.0000  0.0000  0.6262 x3
Ag  0.0000  0.0000  0.4266 x3